Record 1
{
  "formula": "Tb8Te4PS3",
  "functional": "GGA-PBE",
  "state": "optimized geometry",
  "formation_energy_uncorrected_ev_per_atom": -1.661,
  "m_tot_mub_per_cell": 0.00,
  "density_g_cm3": 7.75,
  "lattice_angstrom": [[4.105, 2.370, 7.008], [-4.105, 2.370, 7.008], [0.000, -4.740, 7.008]],
  "species": ["Tb", "Tb", "Tb", "Tb", "Tb", "Tb", "Tb", "Tb", "Te", "Te", "Te", "Te", "P", "S", "S", "S"],
  "frac_coords": [[0.235, 0.235, 0.235], [0.237, 0.734, 0.734], [0.266, 0.266, 0.763], [0.266, 0.763, 0.266], [0.734, 0.237, 0.734], [0.734, 0.734, 0.237], [0.763, 0.266, 0.266], [0.765, 0.765, 0.765], [0.000, 0.000, 0.000], [0.000, 0.500, 0.500], [0.500, 0.000, 0.500], [0.500, 0.500, 0.000], [0.500, 0.500, 0.500], [0.000, 0.000, 0.500], [0.000, 0.500, 0.000], [0.500, 0.000, 0.000]]
}

=====

Record 2
{
  "formula": "Ba2NaInF",
  "functional": "GGA-PBE",
  "state": "optimized geometry",
  "formation_energy_uncorrected_ev_per_atom": -1.260,
  "m_tot_mub_per_cell": 0.00,
  "density_g_cm3": 4.48,
  "lattice_angstrom": [[5.796, 0.000, 0.000], [0.000, 5.796, 0.000], [0.000, 0.000, 4.759]],
  "species": ["Ba", "Ba", "Na", "In", "F"],
  "frac_coords": [[0.000, 0.500, 0.000], [0.500, 0.000, 0.000], [0.000, 0.000, 0.500], [0.500, 0.500, 0.500], [0.000, 0.000, 0.000]]
}

=====

Record 3
{
  "formula": "SrTaSi2",
  "functional": "GGA-PBE",
  "state": "optimized geometry",
  "polymorph_energy_mev_per_atom": 551,
  "formation_energy_uncorrected_ev_per_atom": 0.371,
  "m_tot_mub_per_cell": 0.86,
  "density_g_cm3": 6.77,
  "lattice_angstrom": [[0.000, 3.415, 3.415], [3.415, 0.000, 3.415], [3.415, 3.415, 0.000]],
  "species": ["Sr", "Ta", "Si", "Si"],
  "frac_coords": [[0.000, 0.000, 0.000], [0.500, 0.500, 0.500], [0.250, 0.250, 0.250], [0.750, 0.750, 0.750]]
}

=====

Record 4
{
  "formula": "KMgSb2I",
  "functional": "GGA-PBE",
  "state": "optimized geometry",
  "polymorph_energy_mev_per_atom": 930,
  "formation_energy_uncorrected_ev_per_atom": 0.794,
  "m_tot_mub_per_cell": 2.28,
  "density_g_cm3": 3.06,
  "lattice_angstrom": [[6.184, 0.000, 0.000], [0.000, 6.184, 0.000], [0.000, 0.000, 6.166]],
  "species": ["K", "Mg", "Sb", "Sb", "I"],
  "frac_coords": [[0.000, 0.000, 0.000], [0.500, 0.500, 0.500], [0.000, 0.500, 0.000], [0.500, 0.000, 0.000], [0.000, 0.000, 0.500]]
}

=====

Record 5
{
  "formula": "Li2YZrRh",
  "functional": "GGA-PBE",
  "state": "optimized geometry",
  "delta_e_f_mev_per_atom": 113.5,
  "m_tot_mub_per_cell": 0.00,
  "density_g_cm3": 4.40,
  "lattice_angstrom": [[4.775, 0.000, 0.000], [0.000, 4.775, 0.000], [0.000, 0.000, 4.909]],
  "species": ["Li", "Li", "Y", "Zr", "Rh"],
  "frac_coords": [[0.000, 0.500, 0.000], [0.500, 0.000, 0.000], [0.000, 0.000, 0.500], [0.500, 0.500, 0.500], [0.500, 0.500, 0.000]]
}

=====

Record 6
{
  "formula": "KPu2F11",
  "functional": "GGA-PBE",
  "state": "optimized geometry",
  "formation_energy_uncorrected_ev_per_atom": -3.143,
  "m_tot_mub_per_cell": 12.00,
  "density_g_cm3": 4.29,
  "lattice_angstrom": [[-4.851, 5.030, 5.833], [4.851, -5.030, 5.833], [4.851, 5.030, -5.833]],
  "species": ["K", "K", "Pu", "Pu", "Pu", "Pu", "F", "F", "F", "F", "F", "F", "F", "F", "F", "F", "F", "F", "F", "F", "F", "F", "F", "F", "F", "F", "F", "F"],
  "frac_coords": [[0.250, 0.250, 0.000], [0.750, 0.750, 0.000], [0.162, 0.658, 0.820], [0.338, 0.158, 0.496], [0.662, 0.842, 0.504], [0.838, 0.342, 0.180], [0.000, 0.500, 0.500], [0.061, 0.358, 0.171], [0.106, 0.934, 0.291], [0.143, 0.434, 0.828], [0.187, 0.891, 0.829], [0.195, 0.308, 0.503], [0.305, 0.808, 0.113], [0.313, 0.142, 0.703], [0.357, 0.185, 0.291], [0.394, 0.685, 0.828], [0.439, 0.609, 0.297], [0.500, 0.000, 0.500], [0.561, 0.391, 0.703], [0.606, 0.315, 0.172], [0.643, 0.815, 0.709], [0.687, 0.858, 0.297], [0.695, 0.192, 0.887], [0.805, 0.692, 0.497], [0.813, 0.109, 0.171], [0.857, 0.566, 0.172], [0.894, 0.066, 0.709], [0.939, 0.642, 0.829]]
}

=====

Record 7
{
  "formula": "La2PmPd",
  "functional": "GGA-PBE",
  "state": "optimized geometry",
  "delta_e_f_mev_per_atom": -404.6,
  "polymorph_energy_mev_per_atom": 9,
  "m_tot_mub_per_cell": 0.00,
  "density_g_cm3": 7.15,
  "lattice_angstrom": [[3.943, 0.000, 0.000], [0.000, 10.110, 0.000], [-1.971, 0.000, 6.170]],
  "species": ["La", "La", "La", "La", "Pm", "Pm", "Pd", "Pd"],
  "frac_coords": [[0.135, 0.058, 0.271], [0.135, 0.442, 0.271], [0.865, 0.558, 0.729], [0.865, 0.942, 0.729], [0.422, 0.250, 0.846], [0.578, 0.750, 0.154], [0.275, 0.750, 0.549], [0.725, 0.250, 0.451]]
}

=====

Record 8
{
  "formula": "GaBiPSe",
  "functional": "GGA-PBE",
  "state": "optimized geometry",
  "polymorph_energy_mev_per_atom": 165,
  "formation_energy_uncorrected_ev_per_atom": -0.078,
  "m_tot_mub_per_cell": 0.00,
  "density_g_cm3": 5.90,
  "lattice_angstrom": [[4.724, -1.901, 0.000], [4.724, 1.901, 0.000], [-2.785, 0.000, 6.087]],
  "species": ["Ga", "Bi", "P", "Se"],
  "frac_coords": [[0.000, 0.000, 0.000], [0.919, 0.919, 0.354], [0.647, 0.647, 0.990], [0.728, 0.728, 0.708]]
}

=====

Record 9
{
  "formula": "Pr2SmErS4",
  "functional": "GGA-PBE",
  "state": "optimized geometry",
  "formation_energy_uncorrected_ev_per_atom": -2.006,
  "m_tot_mub_per_cell": 0.00,
  "density_g_cm3": 6.56,
  "lattice_angstrom": [[6.936, 0.000, 0.000], [0.000, 3.963, 0.000], [-2.271, 0.000, 6.700]],
  "species": ["Pr", "Pr", "Sm", "Er", "S", "S", "S", "S"],
  "frac_coords": [[0.000, 0.000, 0.000], [0.500, 0.500, 0.000], [0.000, 0.500, 0.500], [0.500, 0.000, 0.500], [0.252, 0.000, 0.736], [0.263, 0.500, 0.269], [0.737, 0.500, 0.731], [0.748, 0.000, 0.264]]
}

=====

Record 10
{
  "formula": "SrTePt2",
  "functional": "GGA-PBE",
  "state": "optimized geometry",
  "polymorph_energy_mev_per_atom": 335,
  "formation_energy_uncorrected_ev_per_atom": -0.369,
  "m_tot_mub_per_cell": 0.00,
  "density_g_cm3": 10.52,
  "lattice_angstrom": [[3.800, 0.000, 0.000], [0.000, 3.800, 0.000], [0.000, 0.000, 6.620]],
  "species": ["Sr", "Te", "Pt", "Pt"],
  "frac_coords": [[0.000, 0.000, 0.000], [0.500, 0.500, 0.386], [0.000, 0.000, 0.504], [0.500, 0.500, 0.775]]
}

=====

Record 11
{
  "formula": "Cs2RbSe4",
  "functional": "GGA-PBE",
  "state": "optimized geometry",
  "formation_energy_uncorrected_ev_per_atom": -0.746,
  "m_tot_mub_per_cell": 0.85,
  "density_g_cm3": 3.31,
  "lattice_angstrom": [[3.520, -6.914, 0.000], [3.520, 6.914, 0.000], [0.000, 0.000, 6.876]],
  "species": ["Cs", "Cs", "Rb", "Se", "Se", "Se", "Se"],
  "frac_coords": [[0.155, 0.845, 0.000], [0.845, 0.155, 0.000], [0.500, 0.500, 0.500], [0.085, 0.915, 0.500], [0.414, 0.586, 0.000], [0.586, 0.414, 0.000], [0.915, 0.085, 0.500]]
}

=====

Record 12
{
  "formula": "PmNd3Sc6",
  "functional": "GGA-PBE",
  "state": "optimized geometry",
  "delta_e_f_mev_per_atom": 224.0,
  "m_tot_mub_per_cell": 0.00,
  "density_g_cm3": 4.78,
  "lattice_angstrom": [[6.470, -6.863, 0.000], [6.470, 6.863, 0.000], [0.000, 0.000, 6.630]],
  "species": ["Pm", "Pm", "Nd", "Nd", "Nd", "Nd", "Nd", "Nd", "Sc", "Sc", "Sc", "Sc", "Sc", "Sc", "Sc", "Sc", "Sc", "Sc", "Sc", "Sc"],
  "frac_coords": [[0.193, 0.807, 0.500], [0.807, 0.193, 0.000], [0.168, 0.248, 0.471], [0.248, 0.168, 0.971], [0.406, 0.594, 0.693], [0.594, 0.406, 0.193], [0.752, 0.832, 0.471], [0.832, 0.752, 0.971], [0.006, 0.994, 0.235], [0.052, 0.481, 0.798], [0.208, 0.792, 0.994], [0.270, 0.502, 0.181], [0.481, 0.052, 0.298], [0.498, 0.730, 0.181], [0.502, 0.270, 0.681], [0.519, 0.948, 0.798], [0.730, 0.498, 0.681], [0.792, 0.208, 0.494], [0.948, 0.519, 0.298], [0.994, 0.006, 0.735]]
}

=====

Question: Number 1 is which compound?
Answer: Tb8Te4PS3